First-principles (PBE) data for crystalline KSc2Re at its relaxed geometry, as listed in Alexandria via LeMat-Bulk.

As for the calculated total energy: -5.813 eV/atom. The calculation puts the total magnetization at 0.00 μB/cell.

The structure belongs to space group Fm-3m (No. 225); the cell edges are 6.996, 6.996 and 6.996 Å and the angles 90.00°, 90.00° and 90.00°. The distinct sites, in fractional coordinates, are K at (0.000, 0.000, 0.000), Sc at (0.250, 0.250, 0.250) and Re at (0.000, 0.000, 0.500).



First-principles (PBE) data for crystalline KScRe2 at its relaxed geometry, as listed in Alexandria via LeMat-Bulk.

As for the calculated total energy: -6.621 eV/atom. The calculation puts the total magnetization at 0.00 μB/cell.

The structure belongs to space group I-42d (No. 122); the cell edges are 4.635, 4.635 and 19.542 Å and the angles 90.00°, 90.00° and 90.00°. The distinct sites, in fractional coordinates, are K at (0.000, 0.000, 0.000), Sc at (0.000, 0.000, 0.500) and Re at (0.079, 0.250, 0.625).



no.,energy relative to the lowest polymorph listed for this composition (kJ per mole of atoms),calculated volume (Å³/cell),formation energy (eV/atom)
1,56.38,342,0.74
2,96.51,420,1.46